[1]
This record from the Alexandria database describes an optimized crystal structure of Li5Zn3. The functional is PBE-GGA.

Cell and atoms, written as extended XYZ:
```
8
Lattice="2.196 1.268 7.579 -2.196 1.268 7.579 0.000 -2.536 7.579" Properties=species:S:1:pos:R:3 pbc="T T T"
Li 0.000 0.000 0.000
Li 0.000 0.000 5.486
Li 0.000 0.000 8.720
Li 0.000 0.000 14.018
Li 0.000 0.000 17.252
Zn 0.000 0.000 2.857
Zn 0.000 0.000 11.369
Zn 0.000 0.000 19.881
```

Results
Formation energy: -1.0 eV/f.u.
E above lowest polymorph: 11.6 meV/atom

---

[2]
This record from the Alexandria database describes an optimized crystal structure of LiZn2. The functional is PBE-GGA.

Cell and atoms, written as extended XYZ:
```
3
Lattice="4.458 0.000 0.000 0.000 4.458 0.000 0.000 0.000 2.653" Properties=species:S:1:pos:R:3 pbc="T T T"
Li 0.000 0.000 0.000
Zn 0.000 2.229 1.326
Zn 2.229 0.000 1.326
```

Results
Formation energy: 0.3 eV/f.u.

---

The calculation returns the following V values, one per record and in order: 126.6, 52.7 Å³/cell.